1.
Compound: SrNb2Cu
Source: Alexandria
Functional: GGA-PBE
Structure: relaxed

## Properties
The formation energy is 1.097 eV per atom. As for the relative energy among the computed polymorphs: 0.1213 eV/atom. Its symmetry is Fm-3m, No. 225.

a b c (Å): 4.804 4.804 4.804
angles (deg): 60.00 60.00 60.00
Atoms (fractional coordinates):
1 Sr 0.000 0.000 0.000
2 Nb 0.250 0.250 0.250
3 Nb 0.750 0.750 0.750
4 Cu 0.500 0.500 0.500



2.
Compound: CaCePm2Se4
Source: Alexandria
Functional: GGA-PBE
Structure: relaxed

## Properties
Its symmetry is P2/m, No. 10. For the uncorrected formation energy, the calculation gives -1.862 eV per atom.

a b c (Å): 7.267 4.181 7.302
angles (deg): 90.00 109.22 90.00
Atoms (fractional coordinates):
1 Ca 0.000 0.000 0.000
2 Ce 0.000 0.500 0.500
3 Pm 0.500 0.000 0.500
4 Pm 0.500 0.500 0.000
5 Se 0.246 0.500 0.246
6 Se 0.248 0.000 0.753
7 Se 0.752 0.000 0.247
8 Se 0.754 0.500 0.754



3.
Compound: Y7Tl2Pb2
Source: Alexandria
Functional: GGA-PBE
Structure: relaxed

## Properties
The formation energy is -0.085 eV per atom. Its symmetry is Cmmm, No. 65.

a b c (Å): 7.006 7.006 7.635
angles (deg): 90.00 90.00 107.78
Atoms (fractional coordinates):
1 Y 0.000 0.000 0.000
2 Y 0.000 0.500 0.286
3 Y 0.000 0.500 0.714
4 Y 0.500 0.000 0.286
5 Y 0.500 0.000 0.714
6 Y 0.500 0.500 0.254
7 Y 0.500 0.500 0.746
8 Tl 0.287 0.713 0.000
9 Tl 0.713 0.287 0.000
10 Pb 0.185 0.185 0.500
11 Pb 0.815 0.815 0.500



4.
Compound: Ca8PdPb2
Source: Alexandria
Functional: GGA-PBE
Structure: relaxed

## Properties
The formation energy is -0.416 eV per atom. Its symmetry is C2/m, No. 12.

a b c (Å): 9.836 9.836 7.299
angles (deg): 108.57 108.57 32.11
Atoms (fractional coordinates):
1 Ca 0.021 0.021 0.291
2 Ca 0.203 0.203 0.781
3 Ca 0.352 0.352 0.556
4 Ca 0.405 0.405 0.081
5 Ca 0.595 0.595 0.919
6 Ca 0.648 0.648 0.444
7 Ca 0.797 0.797 0.219
8 Ca 0.979 0.979 0.709
9 Pd 0.500 0.500 0.500
10 Pb 0.183 0.183 0.205
11 Pb 0.817 0.817 0.795



Number 1: magnetic moment 0.00 μB per formula unit. Number 2: magnetic moment 1.02 μB per formula unit. Number 3: magnetic moment 0.00 μB per formula unit. Number 4: magnetic moment 0.00 μB per formula unit.